1.
TaTl: optimized geometry, PBE.

Cell and atoms, written as POSCAR:
```
TaTl
1.0
0.000 2.835 2.835
2.835 0.000 2.835
2.835 2.835 0.000
Ta Tl
1 1
Direct
0.000 0.000 0.000 Ta
0.500 0.500 0.500 Tl
```

## Properties
ΔE to the lowest computed polymorph ... 665 meV/atom
Space-group type ... Fm-3m
Total magnetization ... 0.00 μB/cell

---

2.
SiIrOs: optimized geometry, PBE.

Cell and atoms, written as POSCAR:
```
SiIrOs
1.0
0.000 2.829 2.829
2.829 0.000 2.829
2.829 2.829 0.000
Si Ir Os
1 1 1
Direct
0.000 0.000 0.000 Si
0.750 0.750 0.750 Ir
0.250 0.250 0.250 Os
```

## Properties
Space-group type ... F-43m
Total magnetization ... 0.00 μB/cell
E_tot ... -8.618 eV/atom

---

Q: Which value of total magnetization does entry 1 give?
A: 0.00 μB/cell

---

Q: Number 2 is which compound?
A: SiIrOs